# 1
Be2TlW | PBE | relaxed

```
4
Lattice="3.3695 0.0000 0.0000 0.0000 3.0437 0.0106 0.0000 3.0076 5.8333" Properties=species:S:1:pos:R:3 pbc="T T T"
Be 0.0000 3.0191 3.3590
Be 0.0000 3.0141 5.3962
Tl 1.6847 1.5128 1.4610
W 1.6847 4.5385 4.3829
```

Summary:
Density of states at the Fermi level: 0.498 states/eV per atom
Space group: No. 10
Spin magnetization: 0.0 μB/f.u.

# 2
BeTlW | PBE | relaxed

```
3
Lattice="-1.3137 2.2035 -1.4557 -1.6218 -2.1687 1.1692 -0.5277 3.5418 5.8375" Properties=species:S:1:pos:R:3 pbc="T T T"
W -1.7867 3.2315 3.5156
Tl -1.6894 0.4318 2.1782
Be -0.5148 3.4551 5.6946
```

Summary:
Density of states at the Fermi level: 0.701 states/eV per atom
Space group: No. 156
Spin magnetization: 0.0 μB/f.u.

# 3
Be2TlW | PBE | relaxed

```
4
Lattice="4.6315 -0.0159 0.0000 1.2685 4.4544 0.0000 -2.9500 -2.2193 2.7971" Properties=species:S:1:pos:R:3 pbc="T T T"
Tl 0.6342 2.2272 1.3985
W 2.3158 -0.0079 1.3985
Be 0.0000 0.0000 0.0000
Be 2.9500 2.2193 0.0000
```

Summary:
Density of states at the Fermi level: 0.872 states/eV per atom
Space group: No. 139
Spin magnetization: 0.0 μB/f.u.

| no. | excess energy over the best structure of this formula in the dataset (meV/atom) | final energy (eV per atom) | formation energy (eV/f.u.) |
| --- | --- | --- | --- |
| 1 | 0 | -5.190 | 2.010 |
| 2 | 85 | -5.489 | 2.579 |
| 3 | 383 | -4.807 | 3.543 |